{"formula": "Ac2ZrVO6", "functional": "PBE+U", "state": "relaxed", "e_tot_ev_per_atom": -8.47, "magmom_total_mub_per_atom": 0.300, "lattice_angstrom": [[-3.157, -1.921, -4.549], [3.278, -4.978, -0.183], [-5.318, -3.693, 5.217]], "species": ["O", "O", "Ac", "O", "V", "Zr", "Ac", "O", "O", "O", "Ac", "O", "Zr", "O", "O", "O", "Ac", "V", "O", "O"], "fractional_positions": [[0.797, 0.788, 0.951], [0.588, 0.029, 0.253], [0.009, 0.957, 0.251], [0.298, 0.712, 0.451], [0.000, 0.500, 0.500], [0.000, 0.500, 0.000], [0.509, 0.543, 0.751], [0.711, 0.297, 0.955], [0.289, 0.703, 0.045], [0.210, 0.203, 0.455], [0.491, 0.457, 0.249], [0.088, 0.471, 0.754], [0.500, 0.000, 0.500], [0.790, 0.797, 0.545], [0.912, 0.529, 0.246], [0.412, 0.971, 0.747], [0.991, 0.043, 0.749], [0.500, 0.000, 0.000], [0.203, 0.212, 0.049], [0.702, 0.288, 0.549]]}